UMnCu2O6 | GGA+U | relaxed

a = 5.2598 Å, b = 5.3091 Å, c = 5.7226 Å
α = 63.13°, β = 89.75°, γ = 61.36°
Space group P-1 (No. 2)
Symmetry-distinct sites (fractional):
U  0.0000  0.0000  0.0000 x1
Mn  0.5000  0.0000  0.5000 x1
Cu  0.2612  0.5008  0.7424 x2
O  0.0909  0.5281  0.2392 x2
O  0.2635  0.8593  0.7427 x2
O  0.3928  0.8610  0.2648 x2

## Properties
**Total energy**: -7.400 eV per atom
**Volume**: 12.043 Å³/atom
**Calculated density**: 7.12 Mg/m³
**DOS(E_F)**: 5.6 states/eV/cell